1.
First-principles (PBE) data for an optimized crystal structure of Tl4AgPd15, as listed in Alexandria via LeMat-Bulk.

a = 4.0848 Å, b = 4.0848 Å, c = 20.1703 Å
α = 90.00°, β = 90.00°, γ = 90.00°
Last column: nearest neighbours and their distance in Å.
Space group P4/mmm (No. 123)
Inequivalent atoms, fractional coordinates:
Tl 0.0000 0.0000 0.1010 [2 per cell]  12 Pd 2.88-2.90
Tl 0.0000 0.0000 0.3031 [2 per cell]  12 Pd 2.87-2.89
Ag 0.0000 0.0000 0.5000 [1 per cell]  12 Pd 2.82-2.89
Pd 0.0000 0.5000 0.0000 [2 per cell]  4 Tl 2.88, 8 Pd 2.89-2.90
Pd 0.0000 0.5000 0.2031 [4 per cell]  4 Tl 2.87-2.90, 8 Pd 2.89
Pd 0.0000 0.5000 0.4038 [4 per cell]  8 Pd 2.82-2.89, 2 Ag 2.82, 2 Tl 2.88
Pd 0.5000 0.5000 0.1020 [2 per cell]  8 Pd 2.89-2.90, 4 Tl 2.89
Pd 0.5000 0.5000 0.3046 [2 per cell]  8 Pd 2.86-2.89, 4 Tl 2.89
Pd 0.5000 0.5000 0.5000 [1 per cell]  8 Pd 2.82, 4 Ag 2.89

Values from the calculation:
Uncorrected energy (eV/atom): -4.653
DOS at the Fermi energy (states/eV/cell): 22.24
Calculated density (g/cm3): 12.44
Magnetization (μB per formula unit): 0.00


2.
First-principles (PBE) data for an optimized crystal structure of Tl2AgPd2, as listed in Alexandria via LeMat-Bulk.

a = 7.4346 Å, b = 7.4346 Å, c = 3.6456 Å
α = 90.00°, β = 90.00°, γ = 90.00°
Last column: nearest neighbours and their distance in Å.
Space group P4/mbm (No. 127)
Inequivalent atoms, fractional coordinates:
Tl 0.1648 0.3352 0.0000 [4 per cell]  6 Pd 2.77-2.90
Ag 0.0000 0.0000 0.5000 [2 per cell]  4 Pd 2.88
Pd 0.1372 0.6372 0.5000 [4 per cell]  6 Tl 2.77-2.90, 2 Ag 2.88, 1 Pd 2.89

Values from the calculation:
Uncorrected energy (eV/atom): -3.662
DOS at the Fermi energy (states/eV/cell): 3.89
Calculated density (g/cm3): 12.02
Magnetization (μB per formula unit): 0.00


3.
First-principles (PBE) data for an optimized crystal structure of TlAgPd2, as listed in Alexandria via LeMat-Bulk.

a = 3.4440 Å, b = 3.4440 Å, c = 6.0323 Å
α = 90.00°, β = 90.00°, γ = 90.00°
Last column: nearest neighbours and their distance in Å.
Space group P4/mmm (No. 123)
Inequivalent atoms, fractional coordinates:
Tl 0.0000 0.0000 0.0000 [1 per cell]  8 Pd 2.87, 2 Ag 3.02
Ag 0.0000 0.0000 0.5000 [1 per cell]  8 Pd 2.86, 2 Tl 3.02
Pd 0.5000 0.5000 0.2513 [2 per cell]  4 Ag 2.86, 4 Tl 2.87, 2 Pd 3.00-3.03

Values from the calculation:
Uncorrected energy (eV/atom): -4.001
DOS at the Fermi energy (states/eV/cell): 2.18
Calculated density (g/cm3): 12.19
Magnetization (μB per formula unit): 0.00


4.
First-principles (PBE) data for an optimized crystal structure of Tl2AgPd2, as listed in Alexandria via LeMat-Bulk.

a = 4.2914 Å, b = 4.2914 Å, c = 12.3427 Å
α = 90.00°, β = 90.00°, γ = 90.00°
Last column: nearest neighbours and their distance in Å.
Space group I4/mmm (No. 139)
Inequivalent atoms, fractional coordinates:
Tl 0.0000 0.5000 0.2500 [4 per cell]  4 Pd 2.80, 4 Tl 3.03
Ag 0.0000 0.0000 0.0000 [2 per cell]  8 Pd 3.30
Pd 0.0000 0.0000 0.3955 [4 per cell]  1 Pd 2.58, 4 Tl 2.80

Values from the calculation:
Uncorrected energy (eV/atom): -3.372
DOS at the Fermi energy (states/eV/cell): 4.35
Calculated density (g/cm3): 10.66
Magnetization (μB per formula unit): 0.00


5.
First-principles (PBE) data for an optimized crystal structure of TlAgPd2, as listed in Alexandria via LeMat-Bulk.

a = 6.5835 Å, b = 6.5835 Å, c = 6.5835 Å
α = 90.00°, β = 90.00°, γ = 90.00°
Last column: nearest neighbours and their distance in Å.
Space group F-43m (No. 216)
Inequivalent atoms, fractional coordinates:
Tl 0.0000 0.0000 0.0000 [4 per cell]  4 Pd 2.85, 4 Ag 2.85
Ag 0.2500 0.2500 0.7500 [4 per cell]  4 Tl 2.85, 4 Pd 2.85
Pd 0.0000 0.0000 0.5000 [4 per cell]  4 Pd 2.85, 4 Ag 2.85
Pd 0.2500 0.2500 0.2500 [4 per cell]  4 Tl 2.85, 4 Pd 2.85

Values from the calculation:
Uncorrected energy (eV/atom): -3.960
DOS at the Fermi energy (states/eV/cell): 6.20
Calculated density (g/cm3): 12.22
Magnetization (μB per formula unit): 0.00


6.
First-principles (PBE) data for an optimized crystal structure of TlAg3Pd4, as listed in Alexandria via LeMat-Bulk.

a = 5.5742 Å, b = 9.4384 Å, c = 5.4523 Å
α = 90.00°, β = 90.00°, γ = 90.00°
Last column: nearest neighbours and their distance in Å.
Space group Imm2 (No. 44)
Inequivalent atoms, fractional coordinates:
Tl 0.0000 0.0000 0.0000 [2 per cell]  4 Pd 2.68-2.95, 4 Ag 2.79-2.83
Ag 0.0000 0.2468 0.7067 [4 per cell]  1 Ag 2.72, 6 Pd 2.72-3.00, 1 Tl 2.83
Ag 0.0000 0.5000 0.4679 [2 per cell]  2 Pd 2.69, 2 Ag 2.72, 2 Tl 2.79
Pd 0.0000 0.2581 0.2058 [4 per cell]  1 Tl 2.68, 5 Ag 2.69-2.79, 2 Pd 2.95
Pd 0.2474 0.5000 0.9744 [4 per cell]  4 Pd 2.76-2.95, 1 Tl 2.95, 4 Ag 3.00-3.09

Values from the calculation:
Uncorrected energy (eV/atom): -3.893
DOS at the Fermi energy (states/eV/cell): 5.89
Calculated density (g/cm3): 11.04
Magnetization (μB per formula unit): 0.00


7.
First-principles (PBE) data for an optimized crystal structure of TlAgPd5, as listed in Alexandria via LeMat-Bulk.

a = 8.5194 Å, b = 5.4935 Å, c = 10.7247 Å
α = 90.00°, β = 90.00°, γ = 90.00°
Last column: nearest neighbours and their distance in Å.
Space group Cmcm (No. 63)
Inequivalent atoms, fractional coordinates:
Tl 0.0000 0.0000 0.0000 [4 per cell]  10 Pd 2.73-3.06
Ag 0.0000 0.3808 0.2500 [4 per cell]  10 Pd 2.69-2.98
Pd 0.0000 0.1093 0.7500 [4 per cell]  2 Ag 2.69-2.80, 2 Tl 2.75, 4 Pd 2.78
Pd 0.2322 0.3551 0.6191 [16 per cell]  2 Tl 2.73-3.06, 7 Pd 2.76-3.02, 2 Ag 2.83-2.98

Values from the calculation:
Uncorrected energy (eV/atom): -4.457
DOS at the Fermi energy (states/eV/cell): 20.04
Calculated density (g/cm3): 11.17
Magnetization (μB per formula unit): 0.00


8.
First-principles (PBE) data for an optimized crystal structure of Tl2AgPd7, as listed in Alexandria via LeMat-Bulk.

a = 8.5247 Å, b = 16.2142 Å, c = 2.8544 Å
α = 90.00°, β = 90.00°, γ = 90.00°
Last column: nearest neighbours and their distance in Å.
Space group Cmmm (No. 65)
Inequivalent atoms, fractional coordinates:
Tl 0.0000 0.1809 0.0000 [4 per cell]  5 Pd 2.74-2.93, 2 Tl 2.85
Ag 0.0000 0.5000 0.5000 [2 per cell]  10 Pd 2.80-2.82, 2 Ag 2.85
Pd 0.0000 0.0000 0.0000 [2 per cell]  6 Pd 2.71-2.85, 2 Tl 2.93
Pd 0.0000 0.3272 0.5000 [4 per cell]  2 Tl 2.77, 6 Pd 2.79-2.85, 1 Ag 2.80
Pd 0.2305 0.4117 0.0000 [8 per cell]  6 Pd 2.71-2.86, 1 Tl 2.74, 2 Ag 2.82

Values from the calculation:
Uncorrected energy (eV/atom): -4.234
DOS at the Fermi energy (states/eV/cell): 15.70
Calculated density (g/cm3): 10.62
Magnetization (μB per formula unit): 0.00


9.
First-principles (PBE) data for an optimized crystal structure of TlAg6Pd2, as listed in Alexandria via LeMat-Bulk.

a = 10.6866 Å, b = 10.0273 Å, c = 7.5880 Å
α = 90.00°, β = 126.11°, γ = 90.00°
Last column: nearest neighbours and their distance in Å.
Space group C2/c (No. 15)
Inequivalent atoms, fractional coordinates:
Tl 0.0000 0.1676 0.2500 [4 per cell]  4 Pd 2.77-2.85, 6 Ag 2.95-3.05
Ag 0.0493 0.3773 0.9725 [8 per cell]  7 Ag 2.79-3.13, 3 Pd 2.82-2.99
Ag 0.1096 0.0986 0.6981 [8 per cell]  7 Ag 2.84-3.13, 2 Pd 2.89-3.12, 2 Tl 2.95-3.03
Ag 0.2324 0.1459 0.1413 [8 per cell]  7 Ag 2.79-3.02, 2 Pd 2.83-2.86, 1 Tl 3.05
Pd 0.1824 0.3945 0.4273 [8 per cell]  2 Tl 2.77-2.85, 6 Ag 2.82-2.99

Values from the calculation:
Uncorrected energy (eV/atom): -3.300
DOS at the Fermi energy (states/eV/cell): 11.64
Calculated density (g/cm3): 10.76
Magnetization (μB per formula unit): 0.00


10.
First-principles (PBE) data for an optimized crystal structure of TlAg3Pd4, as listed in Alexandria via LeMat-Bulk.

a = 9.3971 Å, b = 6.1180 Å, c = 4.7756 Å
α = 90.00°, β = 90.00°, γ = 90.00°
Last column: nearest neighbours and their distance in Å.
Space group Pmma (No. 51)
Inequivalent atoms, fractional coordinates:
Tl 0.0000 0.0000 0.0000 [2 per cell]  8 Pd 2.84-2.85, 4 Ag 3.06-3.08
Ag 0.0000 0.5000 0.0000 [2 per cell]  8 Pd 2.83, 2 Ag 3.05, 2 Tl 3.06
Ag 0.2500 0.0000 0.4186 [2 per cell]  8 Pd 2.80-2.89, 2 Ag 3.06, 2 Tl 3.08
Ag 0.2500 0.5000 0.4085 [2 per cell]  8 Pd 2.82-2.83, 4 Ag 3.05-3.06
Pd 0.0000 0.2525 0.5000 [4 per cell]  6 Ag 2.83-2.84, 2 Tl 2.84, 4 Pd 3.03-3.09
Pd 0.2500 0.2521 0.9071 [4 per cell]  6 Ag 2.80-2.89, 2 Tl 2.85, 4 Pd 3.03-3.08

Values from the calculation:
Uncorrected energy (eV/atom): -4.060
DOS at the Fermi energy (states/eV/cell): 6.11
Calculated density (g/cm3): 11.54
Magnetization (μB per formula unit): 0.00


11.
First-principles (PBE) data for an optimized crystal structure of Tl2AgPd2, as listed in Alexandria via LeMat-Bulk.

a = 7.8839 Å, b = 7.8839 Å, c = 3.2403 Å
α = 90.00°, β = 90.00°, γ = 90.00°
Last column: nearest neighbours and their distance in Å.
Space group P4/mbm (No. 127)
Inequivalent atoms, fractional coordinates:
Tl 0.1585 0.3415 0.0000 [4 per cell]  6 Pd 2.78-2.86, 2 Ag 2.97
Ag 0.0000 0.0000 0.0000 [2 per cell]  4 Tl 2.97, 2 Ag 3.24
Pd 0.1393 0.6393 0.5000 [4 per cell]  6 Tl 2.78-2.86, 1 Pd 3.11

Values from the calculation:
Uncorrected energy (eV/atom): -3.597
DOS at the Fermi energy (states/eV/cell): 4.17
Calculated density (g/cm3): 12.03
Magnetization (μB per formula unit): 0.00


12.
First-principles (PBE) data for an optimized crystal structure of TmTlAgPd, as listed in Alexandria via LeMat-Bulk.

a = 6.9048 Å, b = 6.9048 Å, c = 6.9048 Å
α = 90.00°, β = 90.00°, γ = 90.00°
Last column: nearest neighbours and their distance in Å.
Space group F-43m (No. 216)
Inequivalent atoms, fractional coordinates:
Tm 0.0000 0.0000 0.0000 [4 per cell]  4 Ag 2.99, 4 Pd 2.99
Tl 0.0000 0.0000 0.5000 [4 per cell]  4 Pd 2.99, 4 Ag 2.99
Ag 0.2500 0.2500 0.7500 [4 per cell]  4 Tl 2.99, 4 Tm 2.99
Pd 0.2500 0.2500 0.2500 [4 per cell]  4 Tm 2.99, 4 Tl 2.99

Values from the calculation:
Uncorrected energy (eV/atom): -4.132
DOS at the Fermi energy (states/eV/cell): 13.86
Calculated density (g/cm3): 11.86
Magnetization (μB per formula unit): 0.00